(P)
Compound: LaSc
Source: Alexandria
Functional: GGA-PBEsol
Structure: optimized geometry

abc: 3.3306 3.3306 5.6709
angles: 90.00 90.00 115.90
Fractional coordinates of all 2 atoms:
1 La 0.0000 0.0000 0.0000
2 Sc 0.5000 0.5000 0.5000

## Properties
Space-group type: Cmmm (65)



(Q)
Compound: LaSc
Source: Alexandria
Functional: GGA-PBEsol
Structure: optimized geometry

abc: 3.4286 3.4286 11.2138
angles: 90.00 90.00 120.00
Fractional coordinates of all 4 atoms:
1 La 0.3333 0.6667 0.3551
2 La 0.6667 0.3333 0.6449
3 Sc 0.3333 0.6667 0.8906
4 Sc 0.6667 0.3333 0.1094

## Properties
Space-group type: P-3m1 (164)



Energetically preferred structure: (Q) | next structure: +100 meV per atom



(P)
Compound: LaSc
Source: Alexandria
Functional: GGA-PBEsol
Structure: optimized geometry

abc: 6.6593 6.6593 5.3212
angles: 90.00 90.00 150.52
Fractional coordinates of all 4 atoms:
1 La 0.1704 0.8296 0.7500
2 La 0.8296 0.1704 0.2500
3 Sc 0.4392 0.5608 0.7500
4 Sc 0.5608 0.4392 0.2500

## Properties
Space-group type: Cmcm (63)



(Q)
Compound: LaSc
Source: Alexandria
Functional: GGA-PBEsol
Structure: optimized geometry

abc: 6.4792 6.4792 6.4792
angles: 146.47 129.37 62.10
Fractional coordinates of all 4 atoms:
1 La 0.3651 0.1151 0.2500
2 La 0.6349 0.8849 0.7500
3 Sc 0.1120 0.3620 0.7500
4 Sc 0.8880 0.6380 0.2500

## Properties
Space-group type: Imma (74)



(R)
Compound: LaSc
Source: Alexandria
Functional: GGA-PBEsol
Structure: optimized geometry

abc: 5.4728 5.4728 5.4728
angles: 60.00 60.00 60.00
Fractional coordinates of all 4 atoms:
1 La 0.1250 0.1250 0.1250
2 La 0.8750 0.8750 0.8750
3 Sc 0.3750 0.3750 0.3750
4 Sc 0.6250 0.6250 0.6250

## Properties
Space-group type: Fd-3m (227)



Energetically preferred structure: (P) | next structure: +25 meV per atom



(P)
Compound: LaSc
Source: Alexandria
Functional: GGA-PBEsol
Structure: optimized geometry

abc: 6.2858 6.2858 8.4472
angles: 106.65 106.65 32.60
Fractional coordinates of all 6 atoms:
1 La 0.0000 0.0000 0.0000
2 La 0.3489 0.3489 0.2453
3 La 0.6316 0.6316 0.3622
4 Sc 0.0239 0.0239 0.6122
5 Sc 0.3169 0.3169 0.6675
6 Sc 0.7061 0.7061 0.8880

## Properties
Space-group type: Cm (8)



(Q)
Compound: LaSc
Source: Alexandria
Functional: GGA-PBEsol
Structure: optimized geometry

abc: 3.5222 3.5222 9.1772
angles: 90.00 90.00 90.00
Fractional coordinates of all 4 atoms:
1 La 0.2500 0.2500 0.1333
2 La 0.7500 0.7500 0.8667
3 Sc 0.2500 0.2500 0.6049
4 Sc 0.7500 0.7500 0.3951

## Properties
Space-group type: P4/nmm (129)



Energetically preferred structure: (P) | next structure: +10 meV per atom



(P)
Compound: LaSc
Source: Alexandria
Functional: GGA-PBEsol
Structure: optimized geometry

abc: 5.5366 3.7459 5.5477
angles: 90.00 90.00 90.00
Fractional coordinates of all 4 atoms:
1 La 0.2500 0.0000 0.2378
2 La 0.7500 0.0000 0.7622
3 Sc 0.2500 0.5000 0.7347
4 Sc 0.7500 0.5000 0.2653

## Properties
Space-group type: Pmma (51)



(Q)
Compound: LaSc
Source: Alexandria
Functional: GGA-PBEsol
Structure: optimized geometry

abc: 3.4392 3.4392 16.7160
angles: 90.00 90.00 120.00
Fractional coordinates of all 6 atoms:
1 La 0.0000 0.0000 0.0000
2 La 0.0000 0.0000 0.3283
3 La 0.3333 0.6667 0.8062
4 Sc 0.0000 0.0000 0.6413
5 Sc 0.3333 0.6667 0.1619
6 Sc 0.3333 0.6667 0.4961

## Properties
Space-group type: P3m1 (156)



Energetically preferred structure: (P) | next structure: +16 meV per atom



(P)
Compound: LaScSi2
Source: Alexandria
Functional: GGA-PBEsol
Structure: optimized geometry

abc: 4.7856 4.7856 5.6305
angles: 109.24 109.24 47.11
Fractional coordinates of all 4 atoms:
1 La 0.0000 0.0000 0.0000
2 Sc 0.5000 0.5000 0.5000
3 Si 0.2372 0.2372 0.6418
4 Si 0.7628 0.7628 0.3582

## Properties
Space-group type: C2/m (12)



(Q)
Compound: LaScSi2
Source: Alexandria
Functional: GGA-PBEsol
Structure: optimized geometry

abc: 3.8029 5.7572 5.7572
angles: 43.19 90.00 90.00
Fractional coordinates of all 4 atoms:
1 La 0.0000 0.0000 0.0000
2 Sc 0.5000 0.2749 0.2749
3 Si 0.0000 0.7229 0.7229
4 Si 0.5000 0.5801 0.5801

## Properties
Space-group type: Amm2 (38)



Energetically preferred structure: (Q) | next structure: +99 meV per atom



(P)
Compound: LaScTe2
Source: Alexandria
Functional: GGA-PBEsol
Structure: optimized geometry

abc: 7.6023 7.6023 7.6023
angles: 32.52 32.52 32.52
Fractional coordinates of all 4 atoms:
1 La 0.0000 0.0000 0.0000
2 Sc 0.5000 0.5000 0.5000
3 Te 0.2396 0.2396 0.2396
4 Te 0.7604 0.7604 0.7604

## Properties
Space-group type: R-3m (166)



(Q)
Compound: LaScTe2
Source: Alexandria
Functional: GGA-PBEsol
Structure: optimized geometry

abc: 5.2972 5.2972 5.2972
angles: 60.00 60.00 60.00
Fractional coordinates of all 4 atoms:
1 La 0.0000 0.0000 0.0000
2 Sc 0.5000 0.5000 0.5000
3 Te 0.2500 0.2500 0.2500
4 Te 0.7500 0.7500 0.7500

## Properties
Space-group type: Fm-3m (225)



Energetically preferred structure: (P) | next structure: +170 meV per atom



(P)
Compound: LaSc2Tl
Source: Alexandria
Functional: GGA-PBEsol
Structure: optimized geometry

abc: 3.2702 3.2702 10.4831
angles: 90.00 90.00 110.94
Fractional coordinates of all 4 atoms:
1 La 0.0000 0.0000 0.0000
2 Sc 0.0000 0.0000 0.5021
3 Sc 0.5000 0.5000 0.7332
4 Tl 0.5000 0.5000 0.2673

## Properties
Space-group type: Cmm2 (35)



(Q)
Compound: LaSc2Tl
Source: Alexandria
Functional: GGA-PBEsol
Structure: optimized geometry

abc: 10.9231 10.9231 10.9231
angles: 17.72 17.72 17.72
Fractional coordinates of all 4 atoms:
1 La 0.0000 0.0000 0.0000
2 Sc 0.2436 0.2436 0.2436
3 Sc 0.4987 0.4987 0.4987
4 Tl 0.7552 0.7552 0.7552

## Properties
Space-group type: R3m (160)



(R)
Compound: LaSc2Tl
Source: Alexandria
Functional: GGA-PBEsol
Structure: optimized geometry

abc: 5.1207 5.1207 5.1207
angles: 60.00 60.00 60.00
Fractional coordinates of all 4 atoms:
1 La 0.0000 0.0000 0.0000
2 Sc 0.2500 0.2500 0.2500
3 Sc 0.7500 0.7500 0.7500
4 Tl 0.5000 0.5000 0.5000

## Properties
Space-group type: Fm-3m (225)



(S)
Compound: LaSc2Tl
Source: Alexandria
Functional: GGA-PBEsol
Structure: optimized geometry

abc: 5.7714 5.7714 5.7714
angles: 133.33 133.33 68.14
Fractional coordinates of all 4 atoms:
1 La 0.0000 0.0000 0.0000
2 Sc 0.5000 0.5000 0.0000
3 Sc 0.7500 0.2500 0.5000
4 Tl 0.2500 0.7500 0.5000

## Properties
Space-group type: I-4m2 (119)



Energetically preferred structure: (S) | next structure: +84 meV per atom



(P)
Compound: LaSc2Tl
Source: Alexandria
Functional: GGA-PBEsol
Structure: optimized geometry

abc: 6.1743 6.1743 3.2818
angles: 102.58 102.58 115.97
Fractional coordinates of all 4 atoms:
1 La 0.0000 0.0000 0.0000
2 Sc 0.0000 0.5000 0.5000
3 Sc 0.5000 0.0000 0.5000
4 Tl 0.5000 0.5000 0.0000

## Properties
Space-group type: C2/m (12)



(Q)
Compound: LaSc2Tl
Source: Alexandria
Functional: GGA-PBEsol
Structure: optimized geometry

abc: 3.4724 3.4724 8.3131
angles: 90.00 90.00 90.00
Fractional coordinates of all 4 atoms:
1 La 0.0000 0.0000 0.0000
2 Sc 0.5000 0.5000 0.2786
3 Sc 0.5000 0.5000 0.7214
4 Tl 0.0000 0.0000 0.5000

## Properties
Space-group type: P4/mmm (123)



(R)
Compound: LaSc2Tl
Source: Alexandria
Functional: GGA-PBEsol
Structure: optimized geometry

abc: 6.2386 6.2386 6.2386
angles: 145.88 131.42 60.69
Fractional coordinates of all 4 atoms:
1 La 0.0000 0.0000 0.0000
2 Sc 0.2602 0.7602 0.5000
3 Sc 0.5161 0.5161 0.0000
4 Tl 0.7423 0.2423 0.5000

## Properties
Space-group type: Imm2 (44)



Energetically preferred structure: (Q) | next structure: +52 meV per atom